First-principles (PBE) data for an optimized crystal structure of GaSiPb3, as listed in Alexandria via LeMat-Bulk.

```
GaSiPb3
1.0
5.437 0.000 0.000
0.000 5.437 0.000
0.000 0.000 5.437
Ga Si Pb
1 1 3
Direct
0.000 0.000 0.000
0.500 0.500 0.500
0.000 0.000 0.500
0.000 0.500 0.000
0.500 0.000 0.000
```

=====

First-principles (PBE) data for an optimized crystal structure of AlZn3, as listed in Alexandria via LeMat-Bulk.

```
AlZn3
1.0
3.178 0.000 0.000
0.000 4.391 0.000
0.000 0.000 4.547
Al Zn
1 3
Direct
0.000 0.000 0.000
0.000 0.500 0.660
0.500 0.000 0.498
0.500 0.500 0.161
```

=====

First-principles (PBE) data for an optimized crystal structure of Na4Tl3Hg5, as listed in Alexandria via LeMat-Bulk.

```
Na4Tl3Hg5
1.0
5.879 -2.862 0.000
5.879 2.862 0.000
-1.465 0.000 10.410
Na Tl Hg
4 3 5
Direct
0.137 0.137 0.455
0.254 0.254 0.124
0.746 0.746 0.876
0.863 0.863 0.545
0.368 0.368 0.717
0.500 0.500 0.000
0.632 0.632 0.283
0.000 0.000 0.000
0.099 0.099 0.750
0.390 0.390 0.399
0.610 0.610 0.601
0.901 0.901 0.250
```

=====

First-principles (PBE) data for an optimized crystal structure of Sr3ZrAu, as listed in Alexandria via LeMat-Bulk.

```
Sr3ZrAu
1.0
5.973 0.000 0.000
0.000 5.973 0.000
0.000 0.000 5.973
Sr Zr Au
3 1 1
Direct
0.000 0.000 0.500
0.000 0.500 0.000
0.500 0.000 0.000
0.000 0.000 0.000
0.500 0.500 0.500
```

=====

First-principles (PBE) data for an optimized crystal structure of MgAlAsO6, as listed in Alexandria via LeMat-Bulk.

```
MgAlAsO6
1.0
4.934 0.000 0.000
-2.467 4.273 0.000
0.000 0.000 8.728
Mg Al As O
2 2 2 12
Direct
0.000 0.000 0.000
0.000 0.000 0.500
0.333 0.667 0.250
0.667 0.333 0.750
0.333 0.667 0.750
0.667 0.333 0.250
0.009 0.357 0.636
0.009 0.651 0.864
0.349 0.357 0.864
0.349 0.991 0.636
0.357 0.009 0.136
0.357 0.349 0.364
0.643 0.651 0.636
0.643 0.991 0.864
0.651 0.009 0.364
0.651 0.643 0.136
0.991 0.349 0.136
0.991 0.643 0.364
```

=====

First-principles (PBE) data for an optimized crystal structure of Zr2Tl, as listed in Alexandria via LeMat-Bulk.

```
Zr2Tl
1.0
5.101 0.000 0.000
-2.551 4.418 0.000
0.000 0.000 6.074
Zr Tl
4 2
Direct
0.000 0.000 0.000
0.000 0.000 0.500
0.333 0.667 0.250
0.667 0.333 0.750
0.333 0.667 0.750
0.667 0.333 0.250
```

=====

Number 1: VASP energy -3.19 eV/atom, Fermi-level density of states 0.635 states/eV per atom. Number 2: VASP energy -1.82 eV/atom, Fermi-level density of states 0.331 states/eV per atom. Number 3: VASP energy -1.26 eV/atom, Fermi-level density of states 0.453 states/eV per atom. Number 4: VASP energy -2.51 eV/atom, Fermi-level density of states 1.187 states/eV per atom. Number 5: VASP energy -6.16 eV/atom, Fermi-level density of states 0.220 states/eV per atom. Number 6: VASP energy -6.58 eV/atom, Fermi-level density of states 1.447 states/eV per atom.